The following is a DFT calculation (PBE) of an optimized crystal structure of PmSm4Tm8.

It has space group Pm-3m (No. 221), with a = 7.7434 Å, b = 7.7434 Å, c = 7.7434 Å, α = 90.00°, β = 90.00° and γ = 90.00°. Symmetry generates all atoms from Pm at (0.0000, 0.0000, 0.0000), Sm at (0.0000, 0.0000, 0.5000), Sm at (0.5000, 0.5000, 0.5000) and Tm at (0.2605, 0.2605, 0.2605).

The value obtained for the formation energy is 0.52 eV/atom.



The following is a DFT calculation (PBE) of an optimized crystal structure of Ce6OsAu2.

It has space group Amm2 (No. 38), with a = 3.7421 Å, b = 15.1780 Å, c = 8.1089 Å, α = 90.00°, β = 90.00° and γ = 90.00°. Symmetry generates all atoms from Ce at (0.0000, 0.0000, 0.0000), Ce at (0.0000, 0.1282, 0.6392), Ce at (0.5000, 0.0000, 0.3287), Ce at (0.5000, 0.1923, 0.9711), Os at (0.5000, 0.0000, 0.7165) and Au at (0.0000, 0.1685, 0.2710).

The value obtained for the formation energy is -0.33 eV/atom.



The following is a DFT calculation (PBE) of an optimized crystal structure of CdInAgHg.

It has space group Cm (No. 8), with a = 4.6502 Å, b = 4.6507 Å, c = 8.4592 Å, α = 90.00°, β = 90.10° and γ = 90.00°. Symmetry generates all atoms from Cd at (0.0000, 0.0000, 0.0000), In at (0.0017, 0.0000, 0.4536), Ag at (0.0008, 0.5000, 0.2189) and Hg at (0.4985, 0.0000, 0.7346).

The value obtained for the formation energy is 0.02 eV/atom. The offset from the most stable computed form is 0.000 eV per atom.



no.,V (Å³/f.u.)
1,464.3
2,230.3
3,91.5